ZnTe2HSe (PBE, optimized geometry); N(E_F) = 2.581 states/eV/cell; theoretical density = 6.2 g cm⁻³; magnetization = 0.000 μB/f.u.; crystal system = tetragonal; E_tot = -2.6429 eV/atom; SG = P4/mmm, No. 123
1.0
-5.286 2.385 0.121
-0.672 -1.347 -2.787
-2.047 -4.677 2.754
H Zn Te Se
1 1 2 1
Cartesian
-0.336 -0.674 -1.394
0.000 0.000 0.000
-1.024 -2.338 1.377
-2.643 1.193 0.060
-4.002 -1.819 0.044